(1)
# Sm7Tm2Mg2

Crystalline Sm7Tm2Mg2 at its relaxed geometry (PBE, the Alexandria database).

energy relative to the elements	0.19	eV/atom
magnetic moment	0.00	μB/f.u.
energy relative to the lowest polymorph listed for this composition	116.0	meV/atom
D(E_F)	1.478	states/eV/atom

Cell lengths 9.7707, 11.8792, 6.7048 Å; angles 90.00, 113.50, 90.00 degrees
Last column: nearest neighbours and their distance in Å.
Space group C2/m (No. 12)
Asymmetric unit:
Sm: 0.0000 0.0000 0.0000 (multiplicity 2)  2 Mg 3.29, 4 Sm 3.40
Sm: 0.1671 0.5000 0.4792 (multiplicity 4)  3 Mg 3.34-3.41, 6 Sm 3.39-3.70, 2 Tm 3.58
Sm: 0.1769 0.2464 0.2027 (multiplicity 8)  2 Tm 3.30-3.38, 1 Mg 3.35, 6 Sm 3.40-3.66
Tm: 0.0000 0.1354 0.5000 (multiplicity 4)  1 Tm 3.22, 6 Sm 3.30-3.58
Mg: 0.1569 0.5000 0.9748 (multiplicity 4)  1 Mg 3.22, 6 Sm 3.29-3.41

(2)
# Sm4TmMg3

Crystalline Sm4TmMg3 at its relaxed geometry (PBE, the Alexandria database).

energy relative to the elements	-0.04	eV/atom
magnetic moment	0.00	μB/f.u.
D(E_F)	1.299	states/eV/atom

Cell lengths 3.8277, 5.5275, 11.1262 Å; angles 90.00, 90.00, 90.00 degrees
Last column: nearest neighbours and their distance in Å.
Space group Pmmm (No. 47)
Asymmetric unit:
Sm: 0.0000 0.0000 0.0000 (multiplicity 1)  8 Mg 3.36-3.37
Sm: 0.0000 0.0000 0.5000 (multiplicity 1)  4 Tm 3.36, 4 Mg 3.38
Sm: 0.0000 0.5000 0.2409 (multiplicity 2)  6 Mg 3.29-3.36, 2 Tm 3.46
Tm: 0.5000 0.5000 0.5000 (multiplicity 1)  8 Sm 3.36-3.46
Mg: 0.5000 0.0000 0.2498 (multiplicity 2)  8 Sm 3.36-3.38
Mg: 0.5000 0.5000 0.0000 (multiplicity 1)  8 Sm 3.29-3.36

(3)
# Sm2TmMg6

Crystalline Sm2TmMg6 at its relaxed geometry (PBE, the Alexandria database).

energy relative to the elements	-0.08	eV/atom
magnetic moment	0.00	μB/f.u.
D(E_F)	0.536	states/eV/atom

Cell lengths 9.1188, 9.1188, 3.2938 Å; angles 90.00, 90.00, 120.00 degrees
Last column: nearest neighbours and their distance in Å.
Space group P6/mmm (No. 191)
Asymmetric unit:
Sm: 0.3333 0.6667 0.0000 (multiplicity 2)  2 Sm 3.29, 12 Mg 3.47
Tm: 0.0000 0.0000 0.0000 (multiplicity 1)  2 Tm 3.29, 12 Mg 3.43
Mg: 0.0000 0.3294 0.5000 (multiplicity 6)  5 Mg 3.00-3.29